[1]
## BaNb2SbF (PBEsol)

Data for a relaxed BaNb2SbF crystal.

Cell: 4.5225 4.5225 5.0675 Å, 90.00 90.00 90.00°
With the nearest neighbours (Å) after each atom.
Positions (direct):
Sb 0.5000 0.5000 0.5000  4 Ba 3.20, 8 Nb 3.40
Nb 0.0000 0.5000 0.0000  2 F 2.26
Nb 0.5000 0.0000 0.0000  2 F 2.26
Ba 0.0000 0.0000 0.5000  2 F 2.53
F 0.0000 0.0000 0.0000  4 Nb 2.26

Properties
total moment = 0.0 μB/f.u.
ΔE_f (raw) = -0.039 eV per atom
symmetry = No. 123
VASP energy = -6.09 eV per atom

[2]
## LiTlHgPd2 (PBEsol)

Data for a relaxed LiTlHgPd2 crystal.

Cell: 4.5315 5.0391 5.0391 Å, 90.00 90.00 90.00°
With the nearest neighbours (Å) after each atom.
Positions (direct):
Tl 0.5000 0.5000 0.5000  8 Pd 3.39, 4 Li 3.56
Hg 0.0000 0.0000 0.0000  2 Li 2.27, 4 Pd 2.52
Pd 0.0000 0.0000 0.5000  2 Hg 2.52
Pd 0.0000 0.5000 0.0000  2 Hg 2.52
Li 0.5000 0.0000 0.0000  2 Hg 2.27

Properties
total moment = 0.0 μB/f.u.
symmetry = No. 123
VASP energy = -3.03 eV per atom
E_form = 0.39 eV/atom

[3]
## Co2ReRu (PBEsol)

Data for a relaxed Co2ReRu crystal.

Cell: 3.6396 3.6396 4.4299 Å, 114.25 114.25 90.00°
With the nearest neighbours (Å) after each atom.
Positions (direct):
Re 0.0000 0.0000 0.0000  8 Co 2.56, 4 Ru 2.57
Co 0.7500 0.2500 0.5000  4 Re 2.56, 4 Ru 2.56, 4 Co 2.57
Co 0.2500 0.7500 0.5000  4 Re 2.56, 4 Ru 2.56, 4 Co 2.57
Ru 0.5000 0.5000 0.0000  8 Co 2.56, 4 Re 2.57

Properties
total moment = 0.9 μB/f.u.
symmetry = No. 139
VASP energy = -9.67 eV per atom
E_form = 0.07 eV/atom
energy above the lowest structure with this stoichiometry = 0.00 eV per formula unit

[4]
## BeP2Pt (PBEsol)

Data for a relaxed BeP2Pt crystal.

Cell: 5.2289 5.2289 6.0873 Å, 115.44 115.44 90.00°
With the nearest neighbours (Å) after each atom.
Positions (direct):
P 0.4017 0.8750 0.2500  2 Be 2.13, 2 Pt 2.29
P 0.8483 0.3750 0.2500  2 Be 2.13, 2 Pt 2.29
P 0.1250 0.1517 0.7500  2 Be 2.13, 2 Pt 2.29
P 0.6250 0.5983 0.7500  2 Be 2.13, 2 Pt 2.29
Pt 0.2500 0.7500 0.5000  4 P 2.29
Pt 0.0000 0.0000 0.0000  4 P 2.29
Be 0.7500 0.2500 0.5000  4 P 2.13
Be 0.5000 0.5000 0.0000  4 P 2.13

Properties
total moment = 0.0 μB/f.u.
symmetry = No. 122
VASP energy = -5.76 eV per atom
E_form = -0.12 eV/atom

[5]
## LiAg2Sb2 (PBEsol)

Data for a relaxed LiAg2Sb2 crystal.

Cell: 5.1149 5.1149 5.9862 Å, 115.29 115.29 90.00°
With the nearest neighbours (Å) after each atom.
Positions (direct):
Sb 0.2500 0.7500 0.5000  4 Ag 2.76
Sb 0.7500 0.2500 0.5000  4 Ag 2.76
Ag 0.3583 0.3583 0.7166  1 Ag 2.70, 4 Sb 2.76
Ag 0.6417 0.6417 0.2834  1 Ag 2.70, 4 Sb 2.76
Li 0.0000 0.0000 0.0000  2 Ag 3.42, 8 Sb 3.50

Properties
total moment = 0.0 μB/f.u.
ΔE_f (raw) = 0.099 eV per atom
symmetry = No. 139
VASP energy = -3.44 eV per atom

[6]
## MgSc3Re (PBEsol)

Data for a relaxed MgSc3Re crystal.

Cell: 5.0356 5.0356 5.0356 Å, 90.00 90.00 90.00°
With the nearest neighbours (Å) after each atom.
Positions (direct):
Sc 0.0000 0.5000 0.0000  2 Re 2.52
Sc 0.0000 0.0000 0.5000  2 Re 2.52
Sc 0.5000 0.0000 0.0000  2 Re 2.52
Re 0.0000 0.0000 0.0000  6 Sc 2.52
Mg 0.5000 0.5000 0.5000  12 Sc 3.56

Properties
total moment = 0.0 μB/f.u.
symmetry = No. 221
VASP energy = -6.70 eV per atom
E_form = 0.27 eV/atom

[7]
## Y2Al2Sn (PBEsol)

Data for a relaxed Y2Al2Sn crystal.

Cell: 4.4519 7.1799 7.1799 Å, 90.00 90.00 90.00°
With the nearest neighbours (Å) after each atom.
Positions (direct):
Y 0.5000 0.1714 0.6714  6 Al 3.03-3.10
Y 0.5000 0.6714 0.8286  6 Al 3.03-3.10
Y 0.5000 0.8286 0.3286  6 Al 3.03-3.10
Y 0.5000 0.3286 0.1714  6 Al 3.03-3.10
Sn 0.0000 0.0000 0.0000  4 Al 2.84
Sn 0.0000 0.5000 0.5000  4 Al 2.84
Al 0.0000 0.3744 0.8744  1 Al 2.55, 2 Sn 2.84
Al 0.0000 0.8744 0.6256  1 Al 2.55, 2 Sn 2.84
Al 0.0000 0.6256 0.1256  1 Al 2.55, 2 Sn 2.84
Al 0.0000 0.1256 0.3744  1 Al 2.55, 2 Sn 2.84

Properties
total moment = 0.0 μB/f.u.
symmetry = No. 127
VASP energy = -5.77 eV per atom
E_form = -0.56 eV/atom

[8]
## Si3PtW (PBEsol)

Data for a relaxed Si3PtW crystal.

Cell: 4.5817 4.5817 4.5817 Å, 90.00 90.00 90.00°
With the nearest neighbours (Å) after each atom.
Positions (direct):
Si 0.0000 0.5000 0.0000  2 Pt 2.29
Si 0.0000 0.0000 0.5000  2 Pt 2.29
Si 0.5000 0.0000 0.0000  2 Pt 2.29
W 0.5000 0.5000 0.5000  12 Si 3.24
Pt 0.0000 0.0000 0.0000  6 Si 2.29

Properties
total moment = 2.5 μB/f.u.
ΔE_f (raw) = 1.333 eV per atom
symmetry = No. 221
VASP energy = -6.27 eV per atom

[9]
## NdTaO4 (PBEsol)

Data for a relaxed NdTaO4 crystal.

Cell: 5.2309 5.4112 5.5701 Å, 90.00 90.00 97.02°
With the nearest neighbours (Å) after each atom.
Positions (direct):
Nd 0.0000 0.7500 0.2356  8 O 2.37-2.56
Nd 0.0000 0.2500 0.7644  8 O 2.37-2.56
Ta 0.5000 0.2500 0.3134  4 O 1.87-1.99
Ta 0.5000 0.7500 0.6866  4 O 1.87-1.99
O 0.7261 0.0091 0.4406  2 Ta 1.99-2.20
O 0.2739 0.4909 0.4406  2 Ta 1.99-2.20
O 0.2739 0.9909 0.5594  2 Ta 1.99-2.20
O 0.7261 0.5091 0.5594  2 Ta 1.99-2.20
O 0.2549 0.6113 0.9095  1 Ta 1.87
O 0.7451 0.8887 0.9095  1 Ta 1.87
O 0.7451 0.3887 0.0905  1 Ta 1.87
O 0.2549 0.1113 0.0905  1 Ta 1.87

Properties
total moment = 0.0 μB/f.u.
ΔE_f (raw) = -3.236 eV per atom
symmetry = No. 13
VASP energy = -9.69 eV per atom

[10]
## BaLiLa2 (PBEsol)

Data for a relaxed BaLiLa2 crystal.

Cell: 4.6951 4.6951 13.1230 Å, 100.31 100.31 90.00°
With the nearest neighbours (Å) after each atom.
Positions (direct):
Li 0.7500 0.2500 0.5000  4 Ba 3.32, 4 La 3.52
Li 0.5000 0.5000 0.0000  4 Ba 3.32, 4 La 3.52
Ba 0.2500 0.7500 0.5000  4 Li 3.32, 4 La 3.65
Ba 0.0000 0.0000 0.0000  4 Li 3.32, 4 La 3.65
La 0.4165 0.8750 0.2500  2 La 3.06
La 0.8335 0.3750 0.2500  2 La 3.06
La 0.1250 0.1665 0.7500  2 La 3.06
La 0.6250 0.5835 0.7500  2 La 3.06

Properties
total moment = 0.0 μB/f.u.
symmetry = No. 122
VASP energy = -3.39 eV per atom
E_form = 0.31 eV/atom
energy above the lowest structure with this stoichiometry = 0.10 eV per formula unit

[11]
## OsRu3 (PBEsol)

Data for a relaxed OsRu3 crystal.

Cell: 2.6693 4.6340 4.6340 Å, 109.54 90.00 90.00°
With the nearest neighbours (Å) after each atom.
Positions (direct):
Os 0.0000 0.0000 0.0000  2 Os 2.67, 10 Ru 2.67
Ru 0.5000 0.0000 0.5000  8 Ru 2.67, 4 Os 2.67
Ru 0.5000 0.5000 0.0000  8 Ru 2.67, 4 Os 2.67
Ru 0.0000 0.5000 0.5000  10 Ru 2.67, 2 Os 2.67

Properties
total moment = 0.0 μB/f.u.
symmetry = No. 65
VASP energy = -10.57 eV per atom
E_form = 0.12 eV/atom

[12]
## FeRu2Cl (PBEsol)

Data for a relaxed FeRu2Cl crystal.

Cell: 2.7694 2.7694 8.2035 Å, 80.28 80.28 60.00°
With the nearest neighbours (Å) after each atom.
Positions (direct):
Cl 0.5061 0.5061 0.4817  3 Fe 2.38
Fe 0.2455 0.2455 0.2634  3 Cl 2.38, 3 Ru 2.65
Ru 0.9996 0.9996 0.0013  9 Ru 2.55-2.77, 3 Fe 2.65
Ru 0.7488 0.7488 0.7536  9 Ru 2.55-2.77, 3 Cl 2.71

Properties
total moment = 2.6 μB/f.u.
ΔE_f (raw) = 0.315 eV per atom
symmetry = No. 160
VASP energy = -7.51 eV per atom
energy above the lowest structure with this stoichiometry = 0.00 eV per formula unit

- Look up the VASP energy of the twelfth one.
  -7.51 eV per atom